1.
# SmTeAs (PBE, optimized geometry)
data_SmTeAs
_chemical_formula_sum 'Sm4 Te4 As4'
_symmetry_space_group_name_H-M 'P 1'
_symmetry_Int_Tables_number 1
_cell_length_a 7.6585
_cell_length_b 4.1166
_cell_length_c 10.1317
_cell_angle_alpha 90.00
_cell_angle_beta 90.00
_cell_angle_gamma 90.00
loop_
_symmetry_equiv_pos_as_xyz
'x,y,z'
loop_
_atom_site_label
_atom_site_type_symbol
_atom_site_fract_x
_atom_site_fract_y
_atom_site_fract_z
_atom_site_occupancy
As1 As 0.4046 0.7500 0.0390 1
As2 As 0.9046 0.7500 0.4610 1
As3 As 0.0954 0.2500 0.5390 1
As4 As 0.5954 0.2500 0.9610 1
Sm1 Sm 0.7712 0.7500 0.1583 1
Sm2 Sm 0.2712 0.7500 0.3417 1
Sm3 Sm 0.7288 0.2500 0.6583 1
Sm4 Sm 0.2288 0.2500 0.8417 1
Te1 Te 0.0889 0.2500 0.1479 1
Te2 Te 0.5889 0.2500 0.3521 1
Te3 Te 0.4111 0.7500 0.6479 1
Te4 Te 0.9111 0.7500 0.8521 1
# Crystal system   orthorhombic
# ρ   7338 kg/m³
# E   -5.39 eV/atom
# Symmetry   Pnma


2.
# InPbW4C2 (PBE, optimized geometry)
data_InPbW4C2
_chemical_formula_sum 'In1 Pb1 W4 C2'
_symmetry_space_group_name_H-M 'P 1'
_symmetry_Int_Tables_number 1
_cell_length_a 3.1848
_cell_length_b 3.1848
_cell_length_c 13.9941
_cell_angle_alpha 90.00
_cell_angle_beta 90.00
_cell_angle_gamma 120.00
loop_
_symmetry_equiv_pos_as_xyz
'x,y,z'
loop_
_atom_site_label
_atom_site_type_symbol
_atom_site_fract_x
_atom_site_fract_y
_atom_site_fract_z
_atom_site_occupancy
C1 C 0.3333 0.6667 0.2486 1
C2 C 0.3333 0.6667 0.7514 1
In1 In 0.0000 0.0000 0.0000 1
Pb1 Pb 0.6667 0.3333 0.5000 1
W1 W 0.6667 0.3333 0.1685 1
W2 W 0.0000 0.0000 0.3256 1
W3 W 0.0000 0.0000 0.6744 1
W4 W 0.6667 0.3333 0.8315 1
# Crystal system   hexagonal
# ρ   14608 kg/m³
# E   -9.21 eV/atom
# Symmetry   P-6m2


3.
# DyTePb (PBE, optimized geometry)
data_DyTePb
_chemical_formula_sum 'Dy1 Te1 Pb1'
_symmetry_space_group_name_H-M 'P 1'
_symmetry_Int_Tables_number 1
_cell_length_a 5.1946
_cell_length_b 5.1946
_cell_length_c 5.1946
_cell_angle_alpha 60.00
_cell_angle_beta 60.00
_cell_angle_gamma 60.00
loop_
_symmetry_equiv_pos_as_xyz
'x,y,z'
loop_
_atom_site_label
_atom_site_type_symbol
_atom_site_fract_x
_atom_site_fract_y
_atom_site_fract_z
_atom_site_occupancy
Dy1 Dy 0.2500 0.2500 0.2500 1
Pb1 Pb 0.7500 0.7500 0.7500 1
Te1 Te 0.0000 0.0000 0.0000 1
# Crystal system   cubic
# ρ   8332 kg/m³
# E   -4.11 eV/atom
# Symmetry   F-43m


4.
# Lu3CuC (PBE, optimized geometry)
data_Lu3CuC
_chemical_formula_sum 'Lu3 Cu1 C1'
_symmetry_space_group_name_H-M 'P 1'
_symmetry_Int_Tables_number 1
_cell_length_a 4.7167
_cell_length_b 4.7167
_cell_length_c 4.7167
_cell_angle_alpha 90.00
_cell_angle_beta 90.00
_cell_angle_gamma 90.00
loop_
_symmetry_equiv_pos_as_xyz
'x,y,z'
loop_
_atom_site_label
_atom_site_type_symbol
_atom_site_fract_x
_atom_site_fract_y
_atom_site_fract_z
_atom_site_occupancy
C1 C 0.5000 0.5000 0.5000 1
Cu1 Cu 0.0000 0.0000 0.0000 1
Lu1 Lu 0.5000 0.5000 0.0000 1
Lu2 Lu 0.5000 0.0000 0.5000 1
Lu3 Lu 0.0000 0.5000 0.5000 1
# Crystal system   cubic
# ρ   9502 kg/m³
# E   -5.47 eV/atom
# Symmetry   Pm-3m


5.
# PuBeTc (PBE, optimized geometry)
data_PuBeTc
_chemical_formula_sum 'Pu1 Be1 Tc1'
_symmetry_space_group_name_H-M 'P 1'
_symmetry_Int_Tables_number 1
_cell_length_a 4.1022
_cell_length_b 4.1022
_cell_length_c 4.1022
_cell_angle_alpha 60.00
_cell_angle_beta 60.00
_cell_angle_gamma 60.00
loop_
_symmetry_equiv_pos_as_xyz
'x,y,z'
loop_
_atom_site_label
_atom_site_type_symbol
_atom_site_fract_x
_atom_site_fract_y
_atom_site_fract_z
_atom_site_occupancy
Be1 Be 0.0000 0.0000 0.0000 1
Pu1 Pu 0.2500 0.2500 0.2500 1
Tc1 Tc 0.7500 0.7500 0.7500 1
# Crystal system   cubic
# ρ   11941 kg/m³
# E   -9.08 eV/atom
# Energy above the most stable polymorph in this dataset   0.00 kcal/mol of atoms
# Symmetry   F-43m


6.
# Zr6FeCo (PBE, optimized geometry)
data_Zr6FeCo
_chemical_formula_sum 'Zr6 Fe1 Co1'
_symmetry_space_group_name_H-M 'P 1'
_symmetry_Int_Tables_number 1
_cell_length_a 8.9304
_cell_length_b 5.6612
_cell_length_c 5.6612
_cell_angle_alpha 33.70
_cell_angle_beta 90.00
_cell_angle_gamma 90.00
loop_
_symmetry_equiv_pos_as_xyz
'x,y,z'
loop_
_atom_site_label
_atom_site_type_symbol
_atom_site_fract_x
_atom_site_fract_y
_atom_site_fract_z
_atom_site_occupancy
Co1 Co 0.5000 0.7286 0.7286 1
Fe1 Fe 0.0000 0.2698 0.2698 1
Zr1 Zr 0.3081 0.1368 0.1368 1
Zr2 Zr 0.6919 0.1368 0.1368 1
Zr3 Zr 0.5000 0.4213 0.4213 1
Zr4 Zr 0.0000 0.5807 0.5807 1
Zr5 Zr 0.1916 0.8630 0.8630 1
Zr6 Zr 0.8084 0.8630 0.8630 1
# Crystal system   orthorhombic
# ΔE_f   -163.2 meV/atom
# ρ   6923 kg/m³
# E   -8.50 eV/atom
# Symmetry   Amm2


7.
# Al2FeHg (PBE, optimized geometry)
data_Al2FeHg
_chemical_formula_sum 'Al2 Fe1 Hg1'
_symmetry_space_group_name_H-M 'P 1'
_symmetry_Int_Tables_number 1
_cell_length_a 4.4810
_cell_length_b 4.4810
_cell_length_c 4.4810
_cell_angle_alpha 60.00
_cell_angle_beta 60.00
_cell_angle_gamma 60.00
loop_
_symmetry_equiv_pos_as_xyz
'x,y,z'
loop_
_atom_site_label
_atom_site_type_symbol
_atom_site_fract_x
_atom_site_fract_y
_atom_site_fract_z
_atom_site_occupancy
Al1 Al 0.0000 0.0000 0.0000 1
Al2 Al 0.7500 0.7500 0.7500 1
Fe1 Fe 0.2500 0.2500 0.2500 1
Hg1 Hg 0.5000 0.5000 0.5000 1
# Crystal system   cubic
# ρ   8101 kg/m³
# E   -3.66 eV/atom
# Symmetry   F-43m


8.
# DyY2Sn3Pd3 (PBE, optimized geometry)
data_DyY2Sn3Pd3
_chemical_formula_sum 'Dy1 Y2 Sn3 Pd3'
_symmetry_space_group_name_H-M 'P 1'
_symmetry_Int_Tables_number 1
_cell_length_a 3.9056
_cell_length_b 7.6329
_cell_length_c 7.6329
_cell_angle_alpha 119.92
_cell_angle_beta 90.00
_cell_angle_gamma 90.00
loop_
_symmetry_equiv_pos_as_xyz
'x,y,z'
loop_
_atom_site_label
_atom_site_type_symbol
_atom_site_fract_x
_atom_site_fract_y
_atom_site_fract_z
_atom_site_occupancy
Dy1 Dy 0.0000 0.5972 0.5972 1
Pd1 Pd 0.5000 0.6665 0.3350 1
Pd2 Pd 0.5000 0.3350 0.6665 1
Pd3 Pd 0.0000 0.9990 0.9990 1
Sn1 Sn 0.5000 0.7381 0.0004 1
Sn2 Sn 0.5000 0.2615 0.2615 1
Sn3 Sn 0.5000 0.0004 0.7381 1
Y1 Y 0.0000 0.4024 0.0000 1
Y2 Y 0.0000 0.0000 0.4024 1
# Crystal system   orthorhombic
# ρ   8552 kg/m³
# E   -5.95 eV/atom
# Symmetry   Amm2


9.
# LuOsAu (PBE, optimized geometry)
data_LuOsAu
_chemical_formula_sum 'Lu1 Os1 Au1'
_symmetry_space_group_name_H-M 'P 1'
_symmetry_Int_Tables_number 1
_cell_length_a 4.5159
_cell_length_b 4.5159
_cell_length_c 4.5159
_cell_angle_alpha 60.00
_cell_angle_beta 60.00
_cell_angle_gamma 60.00
loop_
_symmetry_equiv_pos_as_xyz
'x,y,z'
loop_
_atom_site_label
_atom_site_type_symbol
_atom_site_fract_x
_atom_site_fract_y
_atom_site_fract_z
_atom_site_occupancy
Au1 Au 0.2500 0.2500 0.2500 1
Lu1 Lu 0.0000 0.0000 0.0000 1
Os1 Os 0.7500 0.7500 0.7500 1
# Crystal system   cubic
# ΔE_f   604.5 meV/atom
# ρ   14335 kg/m³
# E   -5.73 eV/atom
# Energy above the most stable polymorph in this dataset   5.93 kcal/mol of atoms
# Symmetry   F-43m


10.
# CuH6C2SeCl (PBE, optimized geometry)
data_CuH6C2SeCl
_chemical_formula_sum 'Cu4 H24 C8 Se4 Cl4'
_symmetry_space_group_name_H-M 'P 1'
_symmetry_Int_Tables_number 1
_cell_length_a 7.2425
_cell_length_b 6.8115
_cell_length_c 11.3063
_cell_angle_alpha 90.00
_cell_angle_beta 97.71
_cell_angle_gamma 90.00
loop_
_symmetry_equiv_pos_as_xyz
'x,y,z'
loop_
_atom_site_label
_atom_site_type_symbol
_atom_site_fract_x
_atom_site_fract_y
_atom_site_fract_z
_atom_site_occupancy
C1 C 0.2570 0.6198 0.1036 1
C2 C 0.8651 0.3838 0.2168 1
C3 C 0.1349 0.8838 0.2832 1
C4 C 0.7430 0.1198 0.3964 1
C5 C 0.2570 0.8802 0.6036 1
C6 C 0.8651 0.1162 0.7168 1
C7 C 0.1349 0.6162 0.7832 1
C8 C 0.7430 0.3802 0.8964 1
Cl1 Cl 0.7266 0.8677 0.0337 1
Cl2 Cl 0.2734 0.3677 0.4663 1
Cl3 Cl 0.7266 0.6323 0.5337 1
Cl4 Cl 0.2734 0.1323 0.9663 1
Cu1 Cu 0.5003 0.0470 0.1239 1
Cu2 Cu 0.4997 0.5470 0.3761 1
Cu3 Cu 0.5003 0.4530 0.6239 1
Cu4 Cu 0.4997 0.9530 0.8761 1
H1 H 0.1497 0.7072 0.0501 1
H2 H 0.3697 0.5826 0.0519 1
H3 H 0.1998 0.4871 0.1395 1
H4 H 0.8287 0.5100 0.1579 1
H5 H 0.9295 0.2662 0.1702 1
H6 H 0.0457 0.9280 0.2014 1
H7 H 0.9543 0.4280 0.2986 1
H8 H 0.0705 0.7662 0.3298 1
H9 H 0.1713 0.0100 0.3421 1
H10 H 0.8002 0.9871 0.3605 1
H11 H 0.6303 0.0826 0.4481 1
H12 H 0.8503 0.2072 0.4499 1
H13 H 0.1497 0.7928 0.5501 1
H14 H 0.3697 0.9174 0.5519 1
H15 H 0.1998 0.0129 0.6395 1
H16 H 0.8287 0.9900 0.6579 1
H17 H 0.9295 0.2338 0.6702 1
H18 H 0.0457 0.5720 0.7014 1
H19 H 0.9543 0.0720 0.7986 1
H20 H 0.0705 0.7338 0.8298 1
H21 H 0.1713 0.4900 0.8421 1
H22 H 0.8002 0.5129 0.8605 1
H23 H 0.6303 0.4174 0.9481 1
H24 H 0.8503 0.2928 0.9499 1
Se1 Se 0.3697 0.7867 0.2356 1
Se2 Se 0.6303 0.2867 0.2644 1
Se3 Se 0.3697 0.7133 0.7356 1
Se4 Se 0.6303 0.2133 0.7644 1
# Crystal system   monoclinic
# ρ   2500 kg/m³
# E   -4.55 eV/atom
# Symmetry   P2_1/c


> Which formula does entry 3 have?

DyTePb